A crystal of BaHfSb3 relaxed with PBEsol, computed with SCAN.

Cell and atoms, written as CIF:
```
data_BaHfSb3
_cell_length_a 5.495
_cell_length_b 5.495
_cell_length_c 5.495
_cell_angle_alpha 90.00
_cell_angle_beta 90.00
_cell_angle_gamma 90.00
_symmetry_space_group_name_H-M 'P 1'
_symmetry_Int_Tables_number 1
_symmetry_space_group_name_Hall 'P 1'
loop_
_atom_site_label
_atom_site_type_symbol
_atom_site_fract_x
_atom_site_fract_y
_atom_site_fract_z
Ba1 Ba 0.000 0.000 0.000
Hf1 Hf 0.500 0.500 0.500
Sb1 Sb 0.000 0.500 0.500
Sb2 Sb 0.500 0.000 0.500
Sb3 Sb 0.500 0.500 0.000
```

Values from the calculation:
As for the space group: Pm-3m (221). For the uncorrected formation energy, the calculation gives -0.502 eV/atom. The calculation puts the theoretical density at 6.82 Mg/m³. The value obtained for the total moment is 0.0 μB/f.u.

***

A crystal of FeAgSb2 relaxed with PBEsol, computed with SCAN.

Cell and atoms, written as CIF:
```
data_FeAgSb2
_cell_length_a 6.579
_cell_length_b 6.587
_cell_length_c 3.551
_cell_angle_alpha 90.00
_cell_angle_beta 90.00
_cell_angle_gamma 90.00
_symmetry_space_group_name_H-M 'P 1'
_symmetry_Int_Tables_number 1
_symmetry_space_group_name_Hall 'P 1'
loop_
_atom_site_label
_atom_site_type_symbol
_atom_site_fract_x
_atom_site_fract_y
_atom_site_fract_z
Fe1 Fe 0.000 0.000 0.000
Fe2 Fe 0.500 0.500 0.000
Ag1 Ag 0.000 0.500 0.000
Ag2 Ag 0.500 0.000 0.000
Sb1 Sb 0.250 0.250 0.500
Sb2 Sb 0.250 0.750 0.500
Sb3 Sb 0.750 0.250 0.500
Sb4 Sb 0.750 0.750 0.500
```

Values from the calculation:
The excess energy over the best structure of this formula in the dataset is 0.91 eV/f.u. As for the space group: Cmmm (65). For the uncorrected formation energy, the calculation gives 0.432 eV/atom. The calculation puts the theoretical density at 8.79 Mg/m³. The value obtained for the total moment is 2.7 μB/f.u.

***

A crystal of Tc2TeRh relaxed with PBEsol, computed with SCAN.

Cell and atoms, written as CIF:
```
data_Tc2TeRh
_cell_length_a 9.073
_cell_length_b 2.953
_cell_length_c 4.666
_cell_angle_alpha 90.00
_cell_angle_beta 97.69
_cell_angle_gamma 90.00
_symmetry_space_group_name_H-M 'P 1'
_symmetry_Int_Tables_number 1
_symmetry_space_group_name_Hall 'P 1'
loop_
_atom_site_label
_atom_site_type_symbol
_atom_site_fract_x
_atom_site_fract_y
_atom_site_fract_z
Tc1 Tc 0.000 0.000 0.000
Tc2 Tc 0.234 0.500 0.207
Tc3 Tc 0.500 0.500 0.000
Tc4 Tc 0.734 0.000 0.207
Te1 Te 0.497 0.000 0.497
Te2 Te 0.997 0.500 0.497
Rh1 Rh 0.259 0.000 0.751
Rh2 Rh 0.759 0.500 0.751
```

Values from the calculation:
As for the space group: Cm (8). For the uncorrected formation energy, the calculation gives 0.229 eV/atom. The calculation puts the theoretical density at 11.43 Mg/m³. The value obtained for the total moment is 0.0 μB/f.u.

***

A crystal of ZrAlCoC2 relaxed with PBEsol, computed with SCAN.

Cell and atoms, written as CIF:
```
data_ZrAlCoC2
_cell_length_a 3.776
_cell_length_b 3.776
_cell_length_c 5.172
_cell_angle_alpha 90.00
_cell_angle_beta 90.00
_cell_angle_gamma 90.00
_symmetry_space_group_name_H-M 'P 1'
_symmetry_Int_Tables_number 1
_symmetry_space_group_name_Hall 'P 1'
loop_
_atom_site_label
_atom_site_type_symbol
_atom_site_fract_x
_atom_site_fract_y
_atom_site_fract_z
Zr1 Zr 0.000 0.000 0.000
Al1 Al 0.000 0.000 0.500
Co1 Co 0.500 0.500 0.000
C1 C 0.000 0.500 0.500
C2 C 0.500 0.000 0.500
```

Values from the calculation:
As for the space group: P4/mmm (123). The calculation puts the theoretical density at 4.53 Mg/m³. The calculation puts the formation enthalpy at 0 K at 885.4 kJ/mol of formula units. The value obtained for the total moment is 1.8 μB/f.u.

***

A crystal of Mn2CoAu relaxed with PBEsol, computed with SCAN.

Cell and atoms, written as CIF:
```
data_Mn2CoAu
_cell_length_a 6.015
_cell_length_b 6.015
_cell_length_c 6.015
_cell_angle_alpha 90.00
_cell_angle_beta 90.00
_cell_angle_gamma 90.00
_symmetry_space_group_name_H-M 'P 1'
_symmetry_Int_Tables_number 1
_symmetry_space_group_name_Hall 'P 1'
loop_
_atom_site_label
_atom_site_type_symbol
_atom_site_fract_x
_atom_site_fract_y
_atom_site_fract_z
Mn1 Mn 0.250 0.250 0.250
Mn2 Mn 0.250 0.250 0.750
Mn3 Mn 0.250 0.750 0.250
Mn4 Mn 0.250 0.750 0.750
Mn5 Mn 0.750 0.250 0.250
Mn6 Mn 0.750 0.250 0.750
Mn7 Mn 0.750 0.750 0.250
Mn8 Mn 0.750 0.750 0.750
Co1 Co 0.000 0.000 0.000
Co2 Co 0.000 0.500 0.500
Co3 Co 0.500 0.000 0.500
Co4 Co 0.500 0.500 0.000
Au1 Au 0.000 0.000 0.500
Au2 Au 0.000 0.500 0.000
Au3 Au 0.500 0.000 0.000
Au4 Au 0.500 0.500 0.500
```

Values from the calculation:
The excess energy over the best structure of this formula in the dataset is 0.00 eV/f.u. As for the space group: Fm-3m (225). The calculation puts the theoretical density at 11.16 Mg/m³. The calculation puts the formation enthalpy at 0 K at -144.3 kJ/mol of formula units. The value obtained for the total moment is 9.8 μB/f.u.

***

A crystal of La2Si4CN6 relaxed with PBEsol, computed with SCAN.

Cell and atoms, written as CIF:
```
data_La2Si4CN6
_cell_length_a 10.152
_cell_length_b 5.984
_cell_length_c 10.514
_cell_angle_alpha 90.00
_cell_angle_beta 90.00
_cell_angle_gamma 90.00
_symmetry_space_group_name_H-M 'P 1'
_symmetry_Int_Tables_number 1
_symmetry_space_group_name_Hall 'P 1'
loop_
_atom_site_label
_atom_site_type_symbol
_atom_site_fract_x
_atom_site_fract_y
_atom_site_fract_z
La1 La 0.049 0.250 0.105
La2 La 0.093 0.750 0.560
La3 La 0.407 0.250 0.060
La4 La 0.451 0.750 0.605
La5 La 0.549 0.250 0.395
La6 La 0.593 0.750 0.940
La7 La 0.907 0.250 0.440
La8 La 0.951 0.750 0.895
Si1 Si 0.018 0.250 0.738
Si2 Si 0.201 0.750 0.076
Si3 Si 0.228 0.003 0.330
Si4 Si 0.228 0.497 0.330
Si5 Si 0.272 0.503 0.830
Si6 Si 0.272 0.997 0.830
Si7 Si 0.299 0.250 0.576
Si8 Si 0.482 0.750 0.238
Si9 Si 0.518 0.250 0.762
Si10 Si 0.701 0.750 0.424
Si11 Si 0.728 0.003 0.170
Si12 Si 0.728 0.497 0.170
Si13 Si 0.772 0.503 0.670
Si14 Si 0.772 0.997 0.670
Si15 Si 0.799 0.250 0.924
Si16 Si 0.982 0.750 0.262
C1 C 0.206 0.250 0.735
C2 C 0.294 0.750 0.235
C3 C 0.706 0.250 0.765
C4 C 0.794 0.750 0.265
N1 N 0.033 0.750 0.107
N2 N 0.054 0.519 0.336
N3 N 0.054 0.981 0.336
N4 N 0.219 0.507 0.987
N5 N 0.219 0.993 0.987
N6 N 0.231 0.750 0.752
N7 N 0.269 0.250 0.252
N8 N 0.281 0.007 0.487
N9 N 0.281 0.493 0.487
N10 N 0.446 0.019 0.836
N11 N 0.446 0.481 0.836
N12 N 0.467 0.250 0.607
N13 N 0.533 0.750 0.393
N14 N 0.554 0.519 0.164
N15 N 0.554 0.981 0.164
N16 N 0.719 0.507 0.513
N17 N 0.719 0.993 0.513
N18 N 0.731 0.750 0.748
N19 N 0.769 0.250 0.248
N20 N 0.781 0.007 0.013
N21 N 0.781 0.493 0.013
N22 N 0.946 0.019 0.664
N23 N 0.946 0.481 0.664
N24 N 0.967 0.250 0.893
```

Values from the calculation:
As for the space group: Pnma (62). For the uncorrected formation energy, the calculation gives -1.410 eV/atom. The calculation puts the theoretical density at 5.06 Mg/m³. The value obtained for the total moment is 0.0 μB/f.u.

***

A crystal of CrOsRh2 relaxed with PBEsol, computed with SCAN.

Cell and atoms, written as CIF:
```
data_CrOsRh2
_cell_length_a 6.040
_cell_length_b 6.040
_cell_length_c 6.040
_cell_angle_alpha 90.00
_cell_angle_beta 90.00
_cell_angle_gamma 90.00
_symmetry_space_group_name_H-M 'P 1'
_symmetry_Int_Tables_number 1
_symmetry_space_group_name_Hall 'P 1'
loop_
_atom_site_label
_atom_site_type_symbol
_atom_site_fract_x
_atom_site_fract_y
_atom_site_fract_z
Cr1 Cr 0.000 0.000 0.000
Cr2 Cr 0.000 0.500 0.500
Cr3 Cr 0.500 0.000 0.500
Cr4 Cr 0.500 0.500 0.000
Os1 Os 0.000 0.000 0.500
Os2 Os 0.000 0.500 0.000
Os3 Os 0.500 0.000 0.000
Os4 Os 0.500 0.500 0.500
Rh1 Rh 0.250 0.250 0.250
Rh2 Rh 0.250 0.250 0.750
Rh3 Rh 0.250 0.750 0.250
Rh4 Rh 0.250 0.750 0.750
Rh5 Rh 0.750 0.250 0.250
Rh6 Rh 0.750 0.250 0.750
Rh7 Rh 0.750 0.750 0.250
Rh8 Rh 0.750 0.750 0.750
```

Values from the calculation:
The excess energy over the best structure of this formula in the dataset is 1.69 eV/f.u. As for the space group: Fm-3m (225). The calculation puts the theoretical density at 13.51 Mg/m³. The calculation puts the formation enthalpy at 0 K at 128.6 kJ/mol of formula units. The value obtained for the total moment is 1.1 μB/f.u.

***

A crystal of VCu2HO5 relaxed with PBEsol, computed with SCAN.

Cell and atoms, written as CIF:
```
data_VCu2HO5
_cell_length_a 14.843
_cell_length_b 5.957
_cell_length_c 8.475
_cell_angle_alpha 90.00
_cell_angle_beta 90.00
_cell_angle_gamma 90.00
_symmetry_space_group_name_H-M 'P 1'
_symmetry_Int_Tables_number 1
_symmetry_space_group_name_Hall 'P 1'
loop_
_atom_site_label
_atom_site_type_symbol
_atom_site_fract_x
_atom_site_fract_y
_atom_site_fract_z
V1 V 0.079 0.250 0.188
V2 V 0.154 0.750 0.535
V3 V 0.346 0.250 0.035
V4 V 0.421 0.750 0.688
V5 V 0.579 0.250 0.312
V6 V 0.654 0.750 0.965
V7 V 0.846 0.250 0.465
V8 V 0.921 0.750 0.812
Cu1 Cu 0.074 0.250 0.583
Cu2 Cu 0.138 0.505 0.872
Cu3 Cu 0.138 0.995 0.872
Cu4 Cu 0.217 0.750 0.156
Cu5 Cu 0.283 0.250 0.656
Cu6 Cu 0.362 0.005 0.372
Cu7 Cu 0.362 0.495 0.372
Cu8 Cu 0.426 0.750 0.083
Cu9 Cu 0.574 0.250 0.917
Cu10 Cu 0.638 0.505 0.628
Cu11 Cu 0.638 0.995 0.628
Cu12 Cu 0.717 0.750 0.344
Cu13 Cu 0.783 0.250 0.844
Cu14 Cu 0.862 0.005 0.128
Cu15 Cu 0.862 0.495 0.128
Cu16 Cu 0.926 0.750 0.417
H1 H 0.000 0.250 0.858
H2 H 0.000 0.750 0.142
H3 H 0.218 0.250 0.390
H4 H 0.282 0.750 0.890
H5 H 0.500 0.250 0.642
H6 H 0.500 0.750 0.358
H7 H 0.718 0.250 0.110
H8 H 0.782 0.750 0.610
O1 O 0.033 0.750 0.814
O2 O 0.050 0.750 0.461
O3 O 0.063 0.250 0.814
O4 O 0.118 0.006 0.096
O5 O 0.118 0.494 0.096
O6 O 0.120 0.250 0.378
O7 O 0.174 0.503 0.650
O8 O 0.174 0.997 0.650
O9 O 0.215 0.750 0.929
O10 O 0.226 0.750 0.377
O11 O 0.274 0.250 0.877
O12 O 0.285 0.250 0.429
O13 O 0.326 0.003 0.150
O14 O 0.326 0.497 0.150
O15 O 0.380 0.750 0.878
O16 O 0.382 0.506 0.596
O17 O 0.382 0.994 0.596
O18 O 0.437 0.750 0.314
O19 O 0.450 0.250 0.961
O20 O 0.467 0.250 0.314
O21 O 0.533 0.750 0.686
O22 O 0.550 0.750 0.039
O23 O 0.563 0.250 0.686
O24 O 0.618 0.006 0.404
O25 O 0.618 0.494 0.404
O26 O 0.620 0.250 0.122
O27 O 0.674 0.503 0.850
O28 O 0.674 0.997 0.850
O29 O 0.715 0.750 0.571
O30 O 0.726 0.750 0.123
O31 O 0.774 0.250 0.623
O32 O 0.785 0.250 0.071
O33 O 0.826 0.003 0.350
O34 O 0.826 0.497 0.350
O35 O 0.880 0.750 0.622
O36 O 0.882 0.506 0.904
O37 O 0.882 0.994 0.904
O38 O 0.937 0.750 0.186
O39 O 0.950 0.250 0.539
O40 O 0.967 0.250 0.186
```

Values from the calculation:
For the total energy, the calculation gives -10.6956 eV per atom. As for the space group: Pnma (62). The calculation puts the theoretical density at 4.59 Mg/m³. The value obtained for the total moment is 0.0 μB/f.u.

***

A crystal of Zn2NiHgSb relaxed with PBEsol, computed with SCAN.

Cell and atoms, written as CIF:
```
data_Zn2NiHgSb
_cell_length_a 4.531
_cell_length_b 4.531
_cell_length_c 4.863
_cell_angle_alpha 90.00
_cell_angle_beta 90.00
_cell_angle_gamma 90.00
_symmetry_space_group_name_H-M 'P 1'
_symmetry_Int_Tables_number 1
_symmetry_space_group_name_Hall 'P 1'
loop_
_atom_site_label
_atom_site_type_symbol
_atom_site_fract_x
_atom_site_fract_y
_atom_site_fract_z
Zn1 Zn 0.000 0.500 0.000
Zn2 Zn 0.500 0.000 0.000
Ni1 Ni 0.000 0.000 0.000
Hg1 Hg 0.000 0.000 0.500
Sb1 Sb 0.500 0.500 0.500
```

Values from the calculation:
As for the space group: P4/mmm (123). For the uncorrected formation energy, the calculation gives 0.351 eV/atom. The calculation puts the theoretical density at 8.51 Mg/m³. The value obtained for the total moment is 0.0 μB/f.u.

***

A crystal of Mg3Rh relaxed with PBEsol, computed with SCAN.

Cell and atoms, written as CIF:
```
data_Mg3Rh
_cell_length_a 3.233
_cell_length_b 4.614
_cell_length_c 9.442
_cell_angle_alpha 90.00
_cell_angle_beta 90.00
_cell_angle_gamma 90.00
_symmetry_space_group_name_H-M 'P 1'
_symmetry_Int_Tables_number 1
_symmetry_space_group_name_Hall 'P 1'
loop_
_atom_site_label
_atom_site_type_symbol
_atom_site_fract_x
_atom_site_fract_y
_atom_site_fract_z
Mg1 Mg 0.000 0.000 0.000
Mg2 Mg 0.000 0.500 0.220
Mg3 Mg 0.000 0.500 0.780
Mg4 Mg 0.500 0.000 0.280
Mg5 Mg 0.500 0.000 0.720
Mg6 Mg 0.500 0.500 0.500
Rh1 Rh 0.000 0.000 0.500
Rh2 Rh 0.500 0.500 0.000
```

Values from the calculation:
As for the space group: Immm (71). The calculation puts the theoretical density at 4.15 Mg/m³. The calculation puts the formation enthalpy at 0 K at -144.3 kJ/mol of formula units. The value obtained for the total moment is 0.0 μB/f.u.

***

A crystal of NiHN2 relaxed with PBEsol, computed with SCAN.

Cell and atoms, written as CIF:
```
data_NiHN2
_cell_length_a 2.734
_cell_length_b 2.734
_cell_length_c 13.680
_cell_angle_alpha 90.00
_cell_angle_beta 90.00
_cell_angle_gamma 120.00
_symmetry_space_group_name_H-M 'P 1'
_symmetry_Int_Tables_number 1
_symmetry_space_group_name_Hall 'P 1'
loop_
_atom_site_label
_atom_site_type_symbol
_atom_site_fract_x
_atom_site_fract_y
_atom_site_fract_z
Ni1 Ni 0.000 0.000 0.000
Ni2 Ni 0.333 0.667 0.667
Ni3 Ni 0.667 0.333 0.333
H1 H 0.000 0.000 0.500
H2 H 0.333 0.667 0.167
H3 H 0.667 0.333 0.833
N1 N 0.000 0.000 0.129
N2 N 0.000 0.000 0.871
N3 N 0.333 0.667 0.538
N4 N 0.333 0.667 0.795
N5 N 0.667 0.333 0.205
N6 N 0.667 0.333 0.462
```

Values from the calculation:
For the total energy, the calculation gives -7.7654 eV per atom. As for the space group: R-3m (166). The calculation puts the theoretical density at 4.93 Mg/m³. The value obtained for the total moment is 0.0 μB/f.u.